Entry 1:
VASP calculation (meta-GGA SCAN) on MnS at its PBEsol-relaxed geometry.

```
MnS
1.0
3.856 0.000 0.000
1.928 3.339 0.000
1.928 1.113 3.148
Mn S
1 1
Cartesian
5.784 3.339 2.361 Mn
0.000 0.000 0.000 S
```

Output
D(E_F)   0.20 states/eV/f.u.

---

Entry 2:
VASP calculation (meta-GGA SCAN) on CdFeBr2 at its PBEsol-relaxed geometry.

```
CdFeBr2
1.0
3.196 0.000 0.000
0.000 3.196 0.000
0.000 0.000 9.047
Fe Br Cd
1 2 1
Cartesian
1.598 1.598 4.523 Fe
0.000 0.000 6.107 Br
0.000 0.000 2.940 Br
1.598 1.598 0.000 Cd
```

Output
ΔE to the lowest computed polymorph   41.5 kJ/mol of formula units
D(E_F)   0.83 states/eV/f.u.

---

Entry 3:
VASP calculation (meta-GGA SCAN) on BeTlF2 at its PBEsol-relaxed geometry.

```
BeTlF2
1.0
4.366 0.000 0.000
2.183 3.781 0.000
2.183 1.260 3.565
Be Tl F
1 1 2
Cartesian
0.000 0.000 0.000 Be
4.366 2.521 1.783 Tl
6.550 3.781 2.674 F
2.183 1.260 0.891 F
```

Output
D(E_F)   0.10 states/eV/f.u.

---

Entry 4:
VASP calculation (meta-GGA SCAN) on ZrCu2WO at its PBEsol-relaxed geometry.

```
ZrCu2WO
1.0
-3.700 -1.348 -0.644
1.339 -2.080 -3.336
0.791 -3.310 2.381
Cu O W Zr
2 1 1 1
Cartesian
0.396 -1.655 1.191 Cu
0.669 -1.040 -1.668 Cu
0.000 0.000 0.000 O
-1.850 -0.674 -0.322 W
-0.785 -3.369 -0.800 Zr
```

Output
D(E_F)   4.41 states/eV/f.u.

---

| no. | formation energy (no corrections) (eV/atom) |
| --- | --- |
| 1 | -1.041 |
| 2 | -0.090 |
| 3 | -0.790 |
| 4 | 0.050 |